a.
# Sr2SeBr PBE optimized geometry
# Crystal system = tetragonal
# DOS(E_F) = 2.30 states/eV per cell
data_Sr2SeBr
_space_group_name_H-M_alt 'P 4/m m m'
_space_group_IT_number 123
_space_group_name_Hall '-P 4 2'
_cell_length_a 3.8800
_cell_length_b 3.8800
_cell_length_c 7.7731
_cell_angle_alpha 90.00
_cell_angle_beta 90.00
_cell_angle_gamma 90.00
loop_
_atom_site_label
_atom_site_type_symbol
_atom_site_fract_x
_atom_site_fract_y
_atom_site_fract_z
_atom_site_occupancy
Sr1 Sr 0.0000 0.0000 0.2289 1
Se1 Se 0.5000 0.5000 0.0000 1
Br1 Br 0.5000 0.5000 0.5000 1

b.
# Sr2SeBr PBE optimized geometry
# Crystal system = monoclinic
# DOS(E_F) = 3.34 states/eV per cell
data_Sr2SeBr
_space_group_name_H-M_alt 'C 1 2/m 1'
_space_group_IT_number 12
_cell_length_a 7.7825
_cell_length_b 4.4838
_cell_length_c 7.7366
_cell_angle_alpha 90.00
_cell_angle_beta 109.48
_cell_angle_gamma 90.00
loop_
_space_group_symop_operation_xyz
'x,y,z'
'-x,-y,-z'
'-x,y,-z'
'x,-y,z'
'x+1/2,y+1/2,z'
'-x+1/2,-y+1/2,-z'
'-x+1/2,y+1/2,-z'
'x+1/2,-y+1/2,z'
loop_
_atom_site_label
_atom_site_type_symbol
_atom_site_fract_x
_atom_site_fract_y
_atom_site_fract_z
_atom_site_occupancy
Sr1 Sr 0.2427 0.0000 0.2285 1
Se1 Se 0.0000 0.5000 0.0000 1
Br1 Br 0.0000 0.0000 0.5000 1

c.
# Sr2SeBr PBE optimized geometry
# Crystal system = orthorhombic
# DOS(E_F) = 4.20 states/eV per cell
data_Sr2SeBr
_space_group_name_H-M_alt 'C m m m'
_space_group_IT_number 65
_space_group_name_Hall '-C 2 2'
_cell_length_a 4.5315
_cell_length_b 6.9205
_cell_length_c 8.7351
_cell_angle_alpha 90.00
_cell_angle_beta 90.00
_cell_angle_gamma 90.00
loop_
_atom_site_label
_atom_site_type_symbol
_atom_site_fract_x
_atom_site_fract_y
_atom_site_fract_z
_atom_site_occupancy
Sr1 Sr 0.0000 0.0000 0.2284 1
Se1 Se 0.0000 0.5000 0.0000 1
Br1 Br 0.0000 0.5000 0.5000 1

b wins, 0.232 eV/atom ahead of the next structure.

a.
# SrSeBr3 PBE optimized geometry
# Crystal system = cubic
# DOS(E_F) = 1.46 states/eV per cell
data_SrSeBr3
_space_group_name_H-M_alt 'P m -3 m'
_space_group_IT_number 221
_space_group_name_Hall '-P 4 2 3'
_cell_length_a 5.5455
_cell_length_b 5.5455
_cell_length_c 5.5455
_cell_angle_alpha 90.00
_cell_angle_beta 90.00
_cell_angle_gamma 90.00
loop_
_atom_site_label
_atom_site_type_symbol
_atom_site_fract_x
_atom_site_fract_y
_atom_site_fract_z
_atom_site_occupancy
Sr1 Sr 0.0000 0.0000 0.0000 1
Se1 Se 0.5000 0.5000 0.5000 1
Br1 Br 0.0000 0.5000 0.5000 1

b.
# SrSeBr3 PBE optimized geometry
# Crystal system = cubic
# DOS(E_F) = 1.08 states/eV per cell
data_SrSeBr3
_space_group_name_H-M_alt 'P m -3 m'
_space_group_IT_number 221
_space_group_name_Hall '-P 4 2 3'
_cell_length_a 5.9715
_cell_length_b 5.9715
_cell_length_c 5.9715
_cell_angle_alpha 90.00
_cell_angle_beta 90.00
_cell_angle_gamma 90.00
loop_
_atom_site_label
_atom_site_type_symbol
_atom_site_fract_x
_atom_site_fract_y
_atom_site_fract_z
_atom_site_occupancy
Sr1 Sr 0.0000 0.0000 0.0000 1
Se1 Se 0.5000 0.5000 0.5000 1
Br1 Br 0.0000 0.0000 0.5000 1

b wins, 0.020 eV/atom ahead of the next structure.

a.
# SrTaSeBr2 PBE optimized geometry
# Crystal system = tetragonal
# DOS(E_F) = 6.84 states/eV per cell
data_SrTaSeBr2
_space_group_name_H-M_alt 'P 4/m m m'
_space_group_IT_number 123
_space_group_name_Hall '-P 4 2'
_cell_length_a 5.6078
_cell_length_b 5.6078
_cell_length_c 6.0472
_cell_angle_alpha 90.00
_cell_angle_beta 90.00
_cell_angle_gamma 90.00
loop_
_atom_site_label
_atom_site_type_symbol
_atom_site_fract_x
_atom_site_fract_y
_atom_site_fract_z
_atom_site_occupancy
Sr1 Sr 0.0000 0.0000 0.0000 1
Ta1 Ta 0.5000 0.5000 0.5000 1
Se1 Se 0.0000 0.0000 0.5000 1
Br1 Br 0.0000 0.5000 0.0000 1

b.
# SrTaSeBr2 PBE optimized geometry
# Crystal system = tetragonal
# DOS(E_F) = 3.32 states/eV per cell
data_SrTaSeBr2
_space_group_name_H-M_alt 'P 4/m m m'
_space_group_IT_number 123
_space_group_name_Hall '-P 4 2'
_cell_length_a 5.3136
_cell_length_b 5.3136
_cell_length_c 5.0502
_cell_angle_alpha 90.00
_cell_angle_beta 90.00
_cell_angle_gamma 90.00
loop_
_atom_site_label
_atom_site_type_symbol
_atom_site_fract_x
_atom_site_fract_y
_atom_site_fract_z
_atom_site_occupancy
Sr1 Sr 0.0000 0.0000 0.0000 1
Ta1 Ta 0.5000 0.5000 0.5000 1
Se1 Se 0.5000 0.5000 0.0000 1
Br1 Br 0.0000 0.5000 0.5000 1

b wins, 0.984 eV/atom ahead of the next structure.

a.
# SrTeSeBr2 PBE optimized geometry
# Crystal system = tetragonal
# DOS(E_F) = 2.97 states/eV per cell
data_SrTeSeBr2
_space_group_name_H-M_alt 'P 4/m m m'
_space_group_IT_number 123
_space_group_name_Hall '-P 4 2'
_cell_length_a 5.7195
_cell_length_b 5.7195
_cell_length_c 5.5607
_cell_angle_alpha 90.00
_cell_angle_beta 90.00
_cell_angle_gamma 90.00
loop_
_atom_site_label
_atom_site_type_symbol
_atom_site_fract_x
_atom_site_fract_y
_atom_site_fract_z
_atom_site_occupancy
Sr1 Sr 0.0000 0.0000 0.0000 1
Te1 Te 0.5000 0.5000 0.5000 1
Se1 Se 0.5000 0.5000 0.0000 1
Br1 Br 0.0000 0.5000 0.5000 1

b.
# SrTeSeBr2 PBE optimized geometry
# Crystal system = tetragonal
# DOS(E_F) = 4.61 states/eV per cell
data_SrTeSeBr2
_space_group_name_H-M_alt 'P 4/m m m'
_space_group_IT_number 123
_space_group_name_Hall '-P 4 2'
_cell_length_a 5.7493
_cell_length_b 5.7493
_cell_length_c 6.2739
_cell_angle_alpha 90.00
_cell_angle_beta 90.00
_cell_angle_gamma 90.00
loop_
_atom_site_label
_atom_site_type_symbol
_atom_site_fract_x
_atom_site_fract_y
_atom_site_fract_z
_atom_site_occupancy
Sr1 Sr 0.0000 0.0000 0.0000 1
Te1 Te 0.5000 0.5000 0.5000 1
Se1 Se 0.0000 0.0000 0.5000 1
Br1 Br 0.0000 0.5000 0.0000 1

a wins, 0.202 eV/atom ahead of the next structure.

a.
# SrTlSe2Br PBE optimized geometry
# Crystal system = tetragonal
# DOS(E_F) = 1.75 states/eV per cell
data_SrTlSe2Br
_space_group_name_H-M_alt 'P 4/m m m'
_space_group_IT_number 123
_space_group_name_Hall '-P 4 2'
_cell_length_a 5.2434
_cell_length_b 5.2434
_cell_length_c 6.9023
_cell_angle_alpha 90.00
_cell_angle_beta 90.00
_cell_angle_gamma 90.00
loop_
_atom_site_label
_atom_site_type_symbol
_atom_site_fract_x
_atom_site_fract_y
_atom_site_fract_z
_atom_site_occupancy
Sr1 Sr 0.0000 0.0000 0.0000 1
Tl1 Tl 0.0000 0.0000 0.5000 1
Se1 Se 0.0000 0.5000 0.5000 1
Br1 Br 0.5000 0.5000 0.0000 1

b.
# SrTlSe2Br PBE optimized geometry
# Crystal system = tetragonal
# DOS(E_F) = 1.52 states/eV per cell
data_SrTlSe2Br
_space_group_name_H-M_alt 'P 4/m m m'
_space_group_IT_number 123
_space_group_name_Hall '-P 4 2'
_cell_length_a 5.4018
_cell_length_b 5.4018
_cell_length_c 5.7002
_cell_angle_alpha 90.00
_cell_angle_beta 90.00
_cell_angle_gamma 90.00
loop_
_atom_site_label
_atom_site_type_symbol
_atom_site_fract_x
_atom_site_fract_y
_atom_site_fract_z
_atom_site_occupancy
Sr1 Sr 0.0000 0.0000 0.0000 1
Tl1 Tl 0.5000 0.5000 0.5000 1
Se1 Se 0.0000 0.5000 0.5000 1
Br1 Br 0.5000 0.5000 0.0000 1

c.
# SrTlSe2Br PBE optimized geometry
# Crystal system = tetragonal
# DOS(E_F) = 5.31 states/eV per cell
data_SrTlSe2Br
_space_group_name_H-M_alt 'P 4/m m m'
_space_group_IT_number 123
_space_group_name_Hall '-P 4 2'
_cell_length_a 5.9572
_cell_length_b 5.9572
_cell_length_c 5.9446
_cell_angle_alpha 90.00
_cell_angle_beta 90.00
_cell_angle_gamma 90.00
loop_
_atom_site_label
_atom_site_type_symbol
_atom_site_fract_x
_atom_site_fract_y
_atom_site_fract_z
_atom_site_occupancy
Sr1 Sr 0.0000 0.0000 0.0000 1
Tl1 Tl 0.5000 0.5000 0.5000 1
Se1 Se 0.0000 0.5000 0.0000 1
Br1 Br 0.0000 0.0000 0.5000 1

b wins, 0.101 eV/atom ahead of the next structure.

a.
# SrWSe2Br PBE optimized geometry
# Crystal system = tetragonal
# DOS(E_F) = 0.95 states/eV per cell
data_SrWSe2Br
_space_group_name_H-M_alt 'P 4/m m m'
_space_group_IT_number 123
_space_group_name_Hall '-P 4 2'
_cell_length_a 4.9351
_cell_length_b 4.9351
_cell_length_c 5.4772
_cell_angle_alpha 90.00
_cell_angle_beta 90.00
_cell_angle_gamma 90.00
loop_
_atom_site_label
_atom_site_type_symbol
_atom_site_fract_x
_atom_site_fract_y
_atom_site_fract_z
_atom_site_occupancy
Sr1 Sr 0.0000 0.0000 0.0000 1
W1 W 0.5000 0.5000 0.5000 1
Se1 Se 0.0000 0.5000 0.5000 1
Br1 Br 0.5000 0.5000 0.0000 1

b.
# SrWSe2Br PBE optimized geometry
# Crystal system = tetragonal
# DOS(E_F) = 2.50 states/eV per cell
data_SrWSe2Br
_space_group_name_H-M_alt 'P 4/m m m'
_space_group_IT_number 123
_space_group_name_Hall '-P 4 2'
_cell_length_a 5.8412
_cell_length_b 5.8412
_cell_length_c 5.5672
_cell_angle_alpha 90.00
_cell_angle_beta 90.00
_cell_angle_gamma 90.00
loop_
_atom_site_label
_atom_site_type_symbol
_atom_site_fract_x
_atom_site_fract_y
_atom_site_fract_z
_atom_site_occupancy
Sr1 Sr 0.0000 0.0000 0.0000 1
W1 W 0.5000 0.5000 0.5000 1
Se1 Se 0.0000 0.5000 0.0000 1
Br1 Br 0.0000 0.0000 0.5000 1

a wins, 1.444 eV/atom ahead of the next structure.